1.
Here is an optimized crystal structure of TlHg2BiAu from Alexandria. Energies are from PBE.

Summary:
Magnetic moment in μB per formula unit: 0.00
Space group: P4/mmm, No. 123
Calculated formation energy in meV per atom: 151

```
TlHg2BiAu
1.0
-3.817 -3.664 -0.620
3.712 -3.799 -0.400
-0.181 -0.783 5.749
Tl Au Bi Hg
1 1 1 2
Direct
0.500 0.500 0.500 Tl
0.000 0.000 0.000 Au
0.000 0.000 0.500 Bi
0.000 0.500 0.000 Hg
0.500 0.000 0.000 Hg
```



2.
Here is an optimized crystal structure of TlHgBiAu2 from Alexandria. Energies are from PBE.

Summary:
Magnetic moment in μB per formula unit: 0.00
Space group: C2/m, No. 12
Calculated formation energy in meV per atom: 10

```
TlHgBiAu2
1.0
-3.623 0.384 3.414
1.733 -5.256 6.083
2.726 3.640 6.134
Tl Hg Bi Au
2 2 2 4
Direct
0.728 0.886 0.658 Tl
0.272 0.114 0.342 Tl
0.046 0.138 0.770 Hg
0.954 0.862 0.230 Hg
0.381 0.378 0.861 Bi
0.619 0.622 0.139 Bi
0.399 0.696 0.506 Au
0.601 0.304 0.494 Au
0.815 0.259 0.110 Au
0.185 0.741 0.890 Au
```



3.
Here is an optimized crystal structure of TmHgBiAu from Alexandria. Energies are from PBE.

Summary:
Magnetic moment in μB per formula unit: 0.00
Space group: F-43m, No. 216
Calculated formation energy in meV per atom: -351

```
TmHgBiAu
1.0
5.178 0.000 0.000
2.589 4.484 0.000
2.589 1.495 4.228
Tm Au Bi Hg
1 1 1 1
Direct
0.500 0.500 0.500 Tm
0.250 0.250 0.250 Au
0.000 0.000 0.000 Bi
0.750 0.750 0.750 Hg
```



no.,uncorrected energy (eV per cell)
1,-9.38
2,-26.11
3,-13.33